# CoReAs, relaxed, DFT PBE
data_CoReAs
_chemical_formula_sum 'Co1 Re1 As1'
_cell_length_a 4.0879
_cell_length_b 4.0879
_cell_length_c 4.0879
_cell_angle_alpha 60.00
_cell_angle_beta 60.00
_cell_angle_gamma 60.00
_space_group_name_H-M_alt 'P 1'
_space_group_IT_number 1
loop_
_space_group_symop_operation_xyz
'x,y,z'
loop_
_atom_site_label
_atom_site_fract_x
_atom_site_fract_y
_atom_site_fract_z
Co1 0.0000 0.0000 0.0000
Re1 0.7500 0.7500 0.7500
As1 0.5000 0.5000 0.5000
# Offset from the most stable computed form (kJ/mol of atoms): 11.66
# E_form (meV/atom): 381
# Fermi-level density of states (states/eV/atom): 1.4531

# Co2ReAs, relaxed, DFT PBE
data_Co2ReAs
_chemical_formula_sum 'Co2 Re1 As1'
_cell_length_a 8.0763
_cell_length_b 8.0763
_cell_length_c 8.0763
_cell_angle_alpha 19.51
_cell_angle_beta 19.51
_cell_angle_gamma 19.51
_space_group_name_H-M_alt 'P 1'
_space_group_IT_number 1
loop_
_space_group_symop_operation_xyz
'x,y,z'
loop_
_atom_site_label
_atom_site_fract_x
_atom_site_fract_y
_atom_site_fract_z
Co1 0.2458 0.2458 0.2458
Co2 0.7542 0.7542 0.7542
Re1 0.0000 0.0000 0.0000
As1 0.5000 0.5000 0.5000
# E_form (meV/atom): 154
# Fermi-level density of states (states/eV/atom): 1.1417

# Co2ReAs, relaxed, DFT PBE
data_Co2ReAs
_chemical_formula_sum 'Co4 Re2 As2'
_cell_length_a 4.2328
_cell_length_b 4.7091
_cell_length_c 5.2589
_cell_angle_alpha 92.48
_cell_angle_beta 101.08
_cell_angle_gamma 90.07
_space_group_name_H-M_alt 'P 1'
_space_group_IT_number 1
loop_
_space_group_symop_operation_xyz
'x,y,z'
loop_
_atom_site_label
_atom_site_fract_x
_atom_site_fract_y
_atom_site_fract_z
Co1 0.0000 0.0000 0.0000
Co2 0.0544 0.4489 0.3056
Co3 0.1548 0.4775 0.7948
Co4 0.6056 0.2718 0.5544
Re1 0.0910 0.9628 0.5131
Re2 0.5296 0.7667 0.2473
As1 0.5370 0.2515 0.0870
As2 0.6230 0.7297 0.7308
# E_form (meV/atom): 89
# Fermi-level density of states (states/eV/atom): 1.1298

# Co4ReAs, relaxed, DFT PBE
data_Co4ReAs
_chemical_formula_sum 'Co4 Re1 As1'
_cell_length_a 4.6909
_cell_length_b 4.6909
_cell_length_c 4.6909
_cell_angle_alpha 60.00
_cell_angle_beta 60.00
_cell_angle_gamma 60.00
_space_group_name_H-M_alt 'P 1'
_space_group_IT_number 1
loop_
_space_group_symop_operation_xyz
'x,y,z'
loop_
_atom_site_label
_atom_site_fract_x
_atom_site_fract_y
_atom_site_fract_z
Co1 0.1254 0.1254 0.1254
Co2 0.1254 0.1254 0.6237
Co3 0.1254 0.6237 0.1254
Co4 0.6237 0.1254 0.1254
Re1 0.5000 0.5000 0.5000
As1 0.7500 0.7500 0.7500
# E_form (meV/atom): 389
# Fermi-level density of states (states/eV/atom): 1.4743

# Co2ReAs, relaxed, DFT PBE
data_Co2ReAs
_chemical_formula_sum 'Co4 Re2 As2'
_cell_length_a 5.1398
_cell_length_b 3.7605
_cell_length_c 5.4178
_cell_angle_alpha 90.00
_cell_angle_beta 104.09
_cell_angle_gamma 90.00
_space_group_name_H-M_alt 'P 1'
_space_group_IT_number 1
loop_
_space_group_symop_operation_xyz
'x,y,z'
loop_
_atom_site_label
_atom_site_fract_x
_atom_site_fract_y
_atom_site_fract_z
Co1 0.0000 0.0000 0.0000
Co2 0.2191 0.5000 0.5976
Co3 0.5141 0.0000 0.8719
Co4 0.7488 0.5000 0.1680
Re1 0.4627 0.0000 0.3897
Re2 0.7343 0.5000 0.6958
As1 0.2787 0.5000 0.0368
As2 0.9627 0.0000 0.4285
# E_form (meV/atom): 46
# Fermi-level density of states (states/eV/atom): 0.9803

# Co2ReAs, relaxed, DFT PBE
data_Co2ReAs
_chemical_formula_sum 'Co2 Re1 As1'
_cell_length_a 4.5680
_cell_length_b 4.5680
_cell_length_c 4.5680
_cell_angle_alpha 136.63
_cell_angle_beta 128.29
_cell_angle_gamma 69.72
_space_group_name_H-M_alt 'P 1'
_space_group_IT_number 1
loop_
_space_group_symop_operation_xyz
'x,y,z'
loop_
_atom_site_label
_atom_site_fract_x
_atom_site_fract_y
_atom_site_fract_z
Co1 0.0000 0.0000 0.0000
Co2 0.7384 0.2384 0.5000
Re1 0.2765 0.7765 0.5000
As1 0.5256 0.5256 0.0000
# E_form (meV/atom): 197
# Fermi-level density of states (states/eV/atom): 0.8790

# CoReAs, relaxed, DFT PBE
data_CoReAs
_chemical_formula_sum 'Co1 Re1 As1'
_cell_length_a 5.0082
_cell_length_b 5.0082
_cell_length_c 5.0082
_cell_angle_alpha 145.24
_cell_angle_beta 145.24
_cell_angle_gamma 49.97
_space_group_name_H-M_alt 'P 1'
_space_group_IT_number 1
loop_
_space_group_symop_operation_xyz
'x,y,z'
loop_
_atom_site_label
_atom_site_fract_x
_atom_site_fract_y
_atom_site_fract_z
Co1 0.0000 0.0000 0.0000
Re1 0.3213 0.3213 0.0000
As1 0.6552 0.6552 0.0000
# Offset from the most stable computed form (kJ/mol of atoms): 0.89
# E_form (meV/atom): 269
# Fermi-level density of states (states/eV/atom): 1.0083

# Co2ReAs, relaxed, DFT PBE
data_Co2ReAs
_chemical_formula_sum 'Co4 Re2 As2'
_cell_length_a 9.0471
_cell_length_b 9.0471
_cell_length_c 4.2044
_cell_angle_alpha 90.00
_cell_angle_beta 90.00
_cell_angle_gamma 162.66
_space_group_name_H-M_alt 'P 1'
_space_group_IT_number 1
loop_
_space_group_symop_operation_xyz
'x,y,z'
loop_
_atom_site_label
_atom_site_fract_x
_atom_site_fract_y
_atom_site_fract_z
Co1 0.0831 0.9169 0.7500
Co2 0.1667 0.8333 0.2500
Co3 0.8333 0.1667 0.7500
Co4 0.9169 0.0831 0.2500
Re1 0.4553 0.5447 0.7500
Re2 0.5447 0.4553 0.2500
As1 0.3073 0.6927 0.2500
As2 0.6927 0.3073 0.7500
# E_form (meV/atom): -56
# Fermi-level density of states (states/eV/atom): 0.6650